DFT (PBE) results for an optimized crystal structure of Tl2Hg4Bi.

The structure in POSCAR format:
```
Tl2Hg4Bi
1.0
-0.453 -5.347 -2.424
5.854 -0.224 -0.598
3.310 -6.105 5.697
Tl Bi Hg
2 1 4
Cartesian
5.878 -8.170 2.621
2.833 -3.506 0.053
0.000 0.000 0.000
5.644 -6.896 -0.145
3.067 -4.780 2.820
2.927 -0.112 -0.299
-0.226 -2.674 -1.212
```

* total DFT energy (no corrections): -8.8 eV/cell
* formation enthalpy at 0 K: 100 kJ/mol of formula units
* space-group type: No. 139
* total moment: 0.000 μB/cell
* energy above the lowest structure with this stoichiometry: 12.9 kJ per mole of atoms


DFT (PBE) results for an optimized crystal structure of Tl2HgBi.

The structure in POSCAR format:
```
Tl2HgBi
1.0
0.000 3.945 3.945
3.945 0.000 3.945
3.945 3.945 0.000
Tl Bi Hg
2 1 1
Cartesian
1.973 1.973 1.973
5.918 5.918 5.918
3.945 3.945 3.945
0.000 0.000 0.000
```

* total DFT energy (no corrections): -9.1 eV/cell
* formation enthalpy at 0 K: -15 kJ/mol of formula units
* space-group type: No. 225
* total moment: 0.000 μB/cell
* energy above the lowest structure with this stoichiometry: 0.0 kJ per mole of atoms


DFT (PBE) results for an optimized crystal structure of Tl5Hg2Bi.

The structure in POSCAR format:
```
Tl5Hg2Bi
1.0
-1.081 2.354 -8.164
-7.987 -3.088 0.168
2.249 6.390 6.037
Tl Hg Bi
10 4 2
Cartesian
-4.513 3.410 0.218
-0.212 3.896 -4.704
0.000 0.000 0.000
-4.534 -0.367 -3.998
-6.607 1.760 2.745
-0.732 5.416 -1.472
-3.482 5.194 -3.897
-6.088 0.239 -0.487
-3.337 0.462 1.938
-2.307 2.246 -2.177
-2.987 -0.751 -1.130
-1.862 1.070 -5.247
-7.206 -1.804 -2.749
-6.081 0.017 -6.866
-5.677 2.644 -2.979
-1.143 3.011 1.019
```

* total DFT energy (no corrections): -32.9 eV/cell
* formation enthalpy at 0 K: -11 kJ/mol of formula units
* space-group type: No. 140
* total moment: 0.000 μB/cell


DFT (PBE) results for an optimized crystal structure of Tl2HgBi.

The structure in POSCAR format:
```
Tl2HgBi
1.0
3.541 0.000 0.000
0.000 3.541 0.000
0.000 0.000 10.055
Tl Bi Hg
2 1 1
Cartesian
0.000 0.000 7.505
0.000 0.000 2.550
1.771 1.771 5.027
1.771 1.771 0.000
```

* total DFT energy (no corrections): -9.1 eV/cell
* formation enthalpy at 0 K: -15 kJ/mol of formula units
* space-group type: No. 123
* total moment: 0.000 μB/cell
* energy above the lowest structure with this stoichiometry: 0.0 kJ per mole of atoms


DFT (PBE) results for an optimized crystal structure of Tl12Hg5Bi2.

The structure in POSCAR format:
```
Tl12Hg5Bi2
1.0
-1.188 -4.814 7.884
-4.035 -4.387 -8.788
6.543 -2.376 -0.465
Tl Hg Bi
12 5 2
Cartesian
0.097 -1.377 -0.826
2.410 -5.143 -5.032
1.924 -7.116 -1.800
-1.408 -4.525 -6.029
-2.067 -7.197 -1.653
-0.121 -7.250 -4.445
1.441 -4.327 3.076
2.728 -7.052 4.660
3.387 -4.380 0.284
-1.090 -6.434 3.663
-0.603 -4.461 0.431
1.224 -10.200 -0.543
1.326 -4.043 -2.269
-1.803 -3.994 -2.710
3.271 -1.188 -0.233
3.123 -7.583 1.341
-0.006 -7.534 0.900
-0.800 -3.244 5.313
-0.387 -1.570 2.572
```

* total DFT energy (no corrections): -37.3 eV/cell
* formation enthalpy at 0 K: 38 kJ/mol of formula units
* space-group type: No. 12
* total moment: 0.000 μB/cell
* energy above the lowest structure with this stoichiometry: 0.3 kJ per mole of atoms


DFT (PBE) results for an optimized crystal structure of Tl2Hg4Bi3.

The structure in POSCAR format:
```
Tl2Hg4Bi3
1.0
-2.811 -3.988 1.156
3.512 -0.862 5.505
-5.098 2.456 7.074
Tl Hg Bi
2 4 3
Cartesian
-1.941 -2.667 7.819
-2.456 0.273 5.916
-2.445 -0.650 2.691
-2.540 -3.210 4.472
-1.857 0.816 9.263
-1.952 -1.744 11.044
-4.800 -0.389 8.849
0.000 0.000 0.000
0.403 -2.005 4.886
```

* total DFT energy (no corrections): -17.4 eV/cell
* formation enthalpy at 0 K: 20 kJ/mol of formula units
* space-group type: No. 2
* total moment: 0.000 μB/cell


DFT (PBE) results for an optimized crystal structure of Tl5HgBi2.

The structure in POSCAR format:
```
Tl5HgBi2
1.0
-1.196 -4.079 -2.199
0.224 -3.452 6.282
-13.894 2.937 2.110
Tl Hg Bi
10 2 4
Cartesian
0.000 0.000 0.000
-6.835 -0.257 4.196
-10.311 0.486 4.708
-3.358 -1.001 3.684
-3.475 0.726 0.544
-10.194 -1.241 7.848
-12.717 -0.342 2.344
-2.149 -4.252 3.849
-5.772 -1.784 1.242
-9.094 -2.810 4.952
-6.947 1.468 1.055
0.112 -1.726 3.141
-9.160 -1.045 1.714
-5.706 -3.548 4.479
-2.208 -2.586 0.790
-12.658 -2.008 5.404
```

* total DFT energy (no corrections): -39.8 eV/cell
* formation enthalpy at 0 K: 1 kJ/mol of formula units
* space-group type: No. 55
* total moment: 0.000 μB/cell
* energy above the lowest structure with this stoichiometry: 3.6 kJ per mole of atoms


DFT (PBE) results for an optimized crystal structure of Tl2Hg8Bi3.

The structure in POSCAR format:
```
Tl2Hg8Bi3
1.0
5.644 -0.674 1.871
-1.152 4.192 -0.161
5.624 -2.528 18.205
Tl Hg Bi
2 8 3
Cartesian
3.210 2.218 8.665
6.905 -1.228 11.249
6.130 0.755 8.417
3.986 0.235 11.497
5.096 2.676 5.723
5.019 -1.686 14.192
7.785 -0.886 16.248
6.760 1.043 13.719
3.355 -0.053 6.196
2.330 1.877 3.666
2.822 -0.337 0.935
4.728 0.555 16.839
5.387 0.435 3.076
```

* total DFT energy (no corrections): -18.5 eV/cell
* formation enthalpy at 0 K: 29 kJ/mol of formula units
* space-group type: No. 2
* total moment: 0.000 μB/cell


DFT (PBE) results for an optimized crystal structure of Tl4Hg5Bi2.

The structure in POSCAR format:
```
Tl4Hg5Bi2
1.0
3.398 0.000 0.000
0.000 7.976 -3.007
0.000 -1.622 12.955
Tl Hg Bi
4 5 2
Cartesian
1.699 0.878 8.608
1.699 4.518 9.571
1.699 5.476 1.340
1.699 1.836 0.377
0.000 2.900 3.178
0.000 7.580 -0.806
0.000 3.988 -1.504
0.000 -1.226 10.753
0.000 3.455 6.770
0.000 5.941 4.485
0.000 0.414 5.463
```

* total DFT energy (no corrections): -18.8 eV/cell
* formation enthalpy at 0 K: -4 kJ/mol of formula units
* space-group type: No. 10
* total moment: 0.000 μB/cell
* energy above the lowest structure with this stoichiometry: 0.0 kJ per mole of atoms


DFT (PBE) results for an optimized crystal structure of Tl4Hg3Bi.

The structure in POSCAR format:
```
Tl4Hg3Bi
1.0
-5.301 -2.551 4.440
5.056 -0.423 5.794
-1.905 7.852 2.236
Tl Hg Bi
8 6 2
Cartesian
-1.334 -2.823 8.778
-0.873 -1.418 4.237
-5.168 4.174 5.533
0.246 4.782 5.971
0.682 2.286 8.269
0.276 3.764 2.735
1.075 1.366 4.998
-4.092 -0.262 4.269
1.525 -0.196 1.987
-2.506 5.429 3.161
-2.554 3.538 8.184
-1.959 1.084 10.239
-1.697 0.006 7.179
-1.457 1.109 1.931
1.412 -1.584 6.767
-2.179 2.500 5.079
```

* total DFT energy (no corrections): -28.4 eV/cell
* formation enthalpy at 0 K: 3 kJ/mol of formula units
* space-group type: No. 31
* total moment: 0.000 μB/cell


DFT (PBE) results for an optimized crystal structure of Tl5Hg3Bi3.

The structure in POSCAR format:
```
Tl5Hg3Bi3
1.0
3.508 0.000 0.000
0.000 9.397 -5.426
0.000 0.000 10.851
Tl Hg Bi
5 3 3
Cartesian
1.754 6.265 0.000
1.754 3.132 5.426
1.754 3.130 -1.807
1.754 6.268 3.619
1.754 0.000 3.614
1.754 7.869 -4.543
1.754 1.529 0.883
1.754 0.000 9.086
0.000 5.589 -3.227
0.000 0.000 6.454
0.000 3.808 2.199
```

* total DFT energy (no corrections): -23.5 eV/cell
* formation enthalpy at 0 K: 83 kJ/mol of formula units
* space-group type: No. 189
* total moment: 0.000 μB/cell


DFT (PBE) results for an optimized crystal structure of TlHg2Bi.

The structure in POSCAR format:
```
TlHg2Bi
1.0
3.423 0.000 -0.428
0.000 5.308 0.000
-0.108 0.000 13.021
Tl Hg Bi
2 4 2
Cartesian
2.020 1.327 2.249
1.295 3.981 10.344
3.221 1.327 11.841
0.094 3.981 0.752
2.831 1.327 8.728
0.484 3.981 3.865
0.709 1.327 5.664
2.606 3.981 6.929
```

* total DFT energy (no corrections): -13.6 eV/cell
* formation enthalpy at 0 K: 4 kJ/mol of formula units
* space-group type: No. 63
* total moment: 0.000 μB/cell


What is the total DFT energy (no corrections) in the second record? -9.1 eV/cell


Number 1 is which compound? Tl2Hg4Bi


Number 10 is which compound? Tl4Hg3Bi